Record 1
Computed, not measured: a relaxed structure of Tm2B10Ir at the PBE level of DFT.

Calculated values
* raw total energy: -7.0050 eV per atom
* SG: Pbam
* crystal system: orthorhombic

Lattice parameters (Å, degrees): 4.155 5.671 11.279 90.00 90.00 90.00
Fractional coordinates of all 26 atoms:
Tm  0.500  0.296  0.866
Tm  0.500  0.704  0.134
Tm  0.500  0.796  0.634
Tm  0.500  0.204  0.366
B  0.000  0.118  0.542
B  0.000  0.882  0.458
B  0.000  0.618  0.958
B  0.000  0.382  0.042
B  0.000  0.135  0.697
B  0.000  0.865  0.303
B  0.302  0.222  0.120
B  0.302  0.778  0.880
B  0.698  0.722  0.380
B  0.698  0.278  0.620
B  0.698  0.778  0.880
B  0.698  0.222  0.120
B  0.302  0.278  0.620
B  0.302  0.722  0.380
B  0.000  0.057  0.194
B  0.000  0.943  0.806
B  0.000  0.557  0.306
B  0.000  0.443  0.694
B  0.000  0.365  0.197
B  0.000  0.635  0.803
Ir  0.000  0.500  0.500
Ir  0.000  0.000  0.000



Record 2
Computed, not measured: a relaxed structure of TmB4Ir12 at the PBE level of DFT.

Calculated values
* raw total energy: -8.0106 eV per atom
* SG: Im-3
* crystal system: cubic

Lattice parameters (Å, degrees): 6.766 6.766 6.766 109.47 109.47 109.47
Fractional coordinates of all 17 atoms:
Tm  0.000  0.000  0.000
B  0.000  0.500  0.000
B  0.500  0.000  0.000
B  0.500  0.500  0.500
B  0.000  0.000  0.500
Ir  0.830  0.321  0.151
Ir  0.321  0.490  0.170
Ir  0.849  0.170  0.679
Ir  0.321  0.151  0.830
Ir  0.151  0.830  0.321
Ir  0.679  0.510  0.830
Ir  0.490  0.170  0.321
Ir  0.510  0.830  0.679
Ir  0.679  0.849  0.170
Ir  0.830  0.679  0.510
Ir  0.170  0.321  0.490
Ir  0.170  0.679  0.849



Record 3
Computed, not measured: a relaxed structure of Tm4B6Ir7 at the PBE level of DFT.

Calculated values
* raw total energy: -7.5208 eV per atom
* SG: Im-3m
* crystal system: cubic

Lattice parameters (Å, degrees): 6.824 6.824 6.824 109.47 109.47 109.47
Fractional coordinates of all 17 atoms:
Tm  0.500  0.000  0.000
Tm  0.500  0.500  0.500
Tm  0.000  0.500  0.000
Tm  0.000  0.000  0.500
B  0.647  0.000  0.647
B  0.647  0.647  0.000
B  0.000  0.353  0.353
B  0.353  0.000  0.353
B  0.353  0.353  0.000
B  0.000  0.647  0.647
Ir  0.750  0.500  0.250
Ir  0.250  0.750  0.500
Ir  0.500  0.750  0.250
Ir  0.750  0.250  0.500
Ir  0.250  0.500  0.750
Ir  0.500  0.250  0.750
Ir  0.000  0.000  0.000



Record 4
Computed, not measured: a relaxed structure of TmB4Ir6 at the PBE level of DFT.

Calculated values
* raw total energy: -7.9207 eV per atom
* SG: I-42m
* crystal system: tetragonal

Lattice parameters (Å, degrees): 6.129 6.129 6.129 78.20 127.03 127.03
Fractional coordinates of all 11 atoms:
Tm  0.000  0.000  0.000
B  0.000  0.206  0.582
B  0.624  0.418  0.418
B  0.000  0.582  0.206
B  0.376  0.794  0.794
Ir  0.000  0.878  0.528
Ir  0.000  0.528  0.878
Ir  0.650  0.122  0.122
Ir  0.500  0.000  0.500
Ir  0.350  0.472  0.472
Ir  0.500  0.500  0.000



E_form, respectively: -0.50, 0.08, -0.46, -0.25 eV per atom.